Entry 1:
U2InRu2 PBE optimized geometry; total DFT energy (no corrections) = -44.62 eV per cell; DOS at the Fermi energy = 1.46 states/eV/atom; space-group type = C2/m (12); energy relative to the elements = -0.754 eV per formula unit
1.0
-2.438 -0.938 -4.057
-2.381 -2.226 0.592
-5.130 3.524 1.895
U In Ru
2 1 2
direct
0.276 0.410 0.404
0.724 0.590 0.596
0.500 0.000 0.000
0.064 0.817 0.802
0.936 0.183 0.198

---

Entry 2:
PmSmNpO6 PBE optimized geometry; total DFT energy (no corrections) = -160.90 eV per cell; space-group type = P-31c (163); formation energy without anion corrections = -3.1434 eV/atom
1.0
-0.082 -2.675 -5.223
4.292 -1.168 3.828
-5.242 -7.091 3.714
O Sm Np Pm
12 2 2 2
direct
0.331 0.967 0.635
0.636 0.967 0.865
0.033 0.364 0.635
0.636 0.669 0.635
0.033 0.669 0.865
0.331 0.364 0.865
0.364 0.331 0.365
0.364 0.033 0.135
0.967 0.636 0.365
0.669 0.033 0.365
0.669 0.636 0.135
0.967 0.331 0.135
0.667 0.333 0.750
0.333 0.667 0.250
0.333 0.667 0.750
0.667 0.333 0.250
0.000 0.000 0.000
0.000 0.000 0.500

---

Entry 3:
TlPtAu2 PBE optimized geometry; total DFT energy (no corrections) = -14.56 eV per cell; DOS at the Fermi energy = 0.42 states/eV/atom; space-group type = Pmm2 (25); energy relative to the elements = 0.401 eV per formula unit
1.0
3.564 0.000 0.000
0.000 3.723 0.000
0.000 0.000 5.794
Tl Au Pt
1 2 1
direct
0.500 0.500 0.735
0.500 0.500 0.244
0.000 0.000 0.017
0.000 0.000 0.504